Version 1
Material: LiCaRe2
Method: DFT, PBE-GGA
State: optimized geometry

a = 5.662 Å, b = 5.662 Å, c = 2.671 Å
α = 98.16°, β = 98.16°, γ = 124.12°
Positions (direct):
Li1 0.000 0.000 0.000
Ca1 0.500 0.500 0.000
Re1 0.000 0.500 0.500
Re2 0.500 0.000 0.500

Summary:
N(E_F), states/eV/cell: 1.92

---

Version 2
Material: LiCaRe2
Method: DFT, PBE-GGA
State: optimized geometry

a = 10.077 Å, b = 10.077 Å, c = 10.077 Å
α = 15.94°, β = 15.94°, γ = 15.94°
Positions (direct):
Li1 0.000 0.000 0.000
Ca1 0.500 0.500 0.500
Re1 0.255 0.255 0.255
Re2 0.745 0.745 0.745

Summary:
N(E_F), states/eV/cell: 5.37

---

Which of them is the most stable, and which is the least stable? version 1 and version 2, in that order.

---

Version 1
Material: LiCaRe2
Method: DFT, PBE-GGA
State: optimized geometry

a = 4.496 Å, b = 4.496 Å, c = 5.968 Å
α = 95.70°, β = 95.70°, γ = 38.58°
Positions (direct):
Li1 0.000 0.000 0.000
Ca1 0.766 0.766 0.289
Re1 0.263 0.263 0.764
Re2 0.528 0.528 0.623

Summary:
N(E_F), states/eV/cell: 2.84

---

Version 2
Material: LiCaRe2
Method: DFT, PBE-GGA
State: optimized geometry

a = 2.632 Å, b = 2.632 Å, c = 9.590 Å
α = 90.00°, β = 90.00°, γ = 90.00°
Positions (direct):
Li1 0.000 0.000 0.000
Ca1 0.000 0.000 0.500
Re1 0.500 0.500 0.234
Re2 0.500 0.500 0.766

Summary:
N(E_F), states/eV/cell: 2.85

---

Version 3
Material: LiCaRe2
Method: DFT, PBE-GGA
State: optimized geometry

a = 2.663 Å, b = 2.663 Å, c = 9.683 Å
α = 90.00°, β = 90.00°, γ = 104.61°
Positions (direct):
Li1 0.000 0.000 0.000
Ca1 0.000 0.000 0.500
Re1 0.500 0.500 0.235
Re2 0.500 0.500 0.765

Summary:
N(E_F), states/eV/cell: 2.98

---

Which of them is the most stable, and which is the least stable? version 1 and version 2, in that order.

---

Version 1
Material: LiCa3Rh2
Method: DFT, PBE-GGA
State: optimized geometry

a = 7.476 Å, b = 8.996 Å, c = 8.254 Å
α = 90.00°, β = 91.04°, γ = 90.00°
Positions (direct):
Li1 0.099 0.172 0.364
Li2 0.099 0.328 0.864
Li3 0.901 0.672 0.136
Li4 0.901 0.828 0.636
Ca1 0.202 0.743 0.873
Ca2 0.202 0.757 0.373
Ca3 0.320 0.064 0.097
Ca4 0.320 0.436 0.597
Ca5 0.335 0.059 0.644
Ca6 0.335 0.441 0.144
Ca7 0.665 0.559 0.856
Ca8 0.665 0.941 0.356
Ca9 0.680 0.564 0.403
Ca10 0.680 0.936 0.903
Ca11 0.798 0.243 0.627
Ca12 0.798 0.257 0.127
Rh1 0.024 0.044 0.849
Rh2 0.024 0.456 0.349
Rh3 0.498 0.236 0.374
Rh4 0.498 0.264 0.874
Rh5 0.502 0.736 0.126
Rh6 0.502 0.764 0.626
Rh7 0.976 0.544 0.651
Rh8 0.976 0.956 0.151

Summary:
N(E_F), states/eV/cell: 10.44

---

Version 2
Material: LiCa3Rh2
Method: DFT, PBE-GGA
State: optimized geometry

a = 3.457 Å, b = 3.457 Å, c = 11.812 Å
α = 90.00°, β = 90.00°, γ = 90.00°
Positions (direct):
Li1 0.000 0.000 0.000
Ca1 0.500 0.500 0.215
Ca2 0.500 0.500 0.500
Ca3 0.500 0.500 0.785
Rh1 0.000 0.000 0.348
Rh2 0.000 0.000 0.652

Summary:
N(E_F), states/eV/cell: 2.88

---

Which of them is the most stable, and which is the least stable? version 2 and version 1, in that order.

---

Version 1
Material: LiCa4Rh
Method: DFT, PBE-GGA
State: optimized geometry

a = 6.469 Å, b = 6.469 Å, c = 6.469 Å
α = 60.00°, β = 60.00°, γ = 60.00°
Positions (direct):
Li1 0.000 0.000 0.000
Ca1 0.376 0.376 0.376
Ca2 0.376 0.376 0.872
Ca3 0.376 0.872 0.376
Ca4 0.872 0.376 0.376
Rh1 0.750 0.750 0.750

Summary:
N(E_F), states/eV/cell: 5.88

---

Version 2
Material: LiCa4Rh
Method: DFT, PBE-GGA
State: optimized geometry

a = 5.061 Å, b = 5.061 Å, c = 7.617 Å
α = 90.00°, β = 90.00°, γ = 90.00°
Positions (direct):
Li1 0.000 0.000 0.000
Ca1 0.000 0.500 0.281
Ca2 0.000 0.500 0.719
Ca3 0.500 0.000 0.281
Ca4 0.500 0.000 0.719
Rh1 0.500 0.500 0.500

Summary:
N(E_F), states/eV/cell: 2.77

---

Which of them is the most stable, and which is the least stable? version 2 and version 1, in that order.